(1)
A plane-wave DFT calculation with PBE with a Hubbard U was carried out for an optimized crystal structure of RbMoP2O7.

a = 10.6219 Å, b = 7.6944 Å, c = 8.5955 Å
α = 73.82°, β = 90.00°, γ = 90.00°
Last column: nearest neighbours and their distance in Å.
Sites, in units of the cell vectors:
Rb (0.8200, 0.1859, 0.4405)  7 O 2.90-3.25
Rb (0.3200, 0.8141, 0.0595)  7 O 2.90-3.25
Rb (0.1800, 0.8141, 0.5595)  7 O 2.90-3.25
Rb (0.6800, 0.1859, 0.9405)  7 O 2.90-3.25
Mo (0.1010, 0.2365, 0.7424)  6 O 2.12-2.17
Mo (0.6010, 0.7635, 0.7576)  6 O 2.12-2.17
Mo (0.8990, 0.7635, 0.2576)  6 O 2.12-2.17
Mo (0.3990, 0.2365, 0.2424)  6 O 2.12-2.17
P (0.3998, 0.1275, 0.6754)  4 O 1.51-1.63
P (0.8998, 0.8725, 0.8246)  4 O 1.51-1.63
P (0.6002, 0.8725, 0.3246)  4 O 1.51-1.63
P (0.1002, 0.1275, 0.1754)  4 O 1.51-1.63
P (0.1340, 0.4347, 0.3091)  4 O 1.52-1.64
P (0.6340, 0.5653, 0.1909)  4 O 1.52-1.64
P (0.8660, 0.5653, 0.6909)  4 O 1.52-1.64
P (0.3660, 0.4347, 0.8091)  4 O 1.52-1.64
O (0.2747, 0.4503, 0.2646)  1 P 1.54
O (0.7747, 0.5497, 0.2354)  1 P 1.54
O (0.7253, 0.5497, 0.7354)  1 P 1.54
O (0.2253, 0.4503, 0.7646)  1 P 1.54
O (0.0028, 0.9986, 0.2792)  1 P 1.54
O (0.5028, 0.0014, 0.2208)  1 P 1.54
O (0.9972, 0.0014, 0.7208)  1 P 1.54
O (0.4972, 0.9986, 0.7792)  1 P 1.54
O (0.1041, 0.3236, 0.4812)  1 P 1.52
O (0.6041, 0.6764, 0.0188)  1 P 1.52
O (0.8959, 0.6764, 0.5188)  1 P 1.52
O (0.3959, 0.3236, 0.9812)  1 P 1.52
O (0.0942, 0.1371, 0.9982)  1 P 1.51
O (0.5942, 0.8629, 0.5018)  1 P 1.51
O (0.9058, 0.8629, 0.0018)  1 P 1.51
O (0.4058, 0.1371, 0.4982)  1 P 1.51
O (0.4346, 0.3277, 0.6919)  2 P 1.63-1.64
O (0.9346, 0.6723, 0.8081)  2 P 1.63-1.64
O (0.5654, 0.6723, 0.3081)  2 P 1.63-1.64
O (0.0654, 0.3277, 0.1919)  2 P 1.63-1.64
O (0.2679, 0.0765, 0.7490)  1 P 1.54
O (0.7679, 0.9235, 0.7510)  1 P 1.54
O (0.7321, 0.9235, 0.2510)  1 P 1.54
O (0.2321, 0.0765, 0.2490)  1 P 1.54
O (0.4233, 0.6243, 0.7609)  1 P 1.53
O (0.9233, 0.3757, 0.7391)  1 P 1.53
O (0.5767, 0.3757, 0.2391)  1 P 1.53
O (0.0767, 0.6243, 0.2609)  1 P 1.53

Output
As for the density: 3.50 g/cm3. The total energy is -311.36 eV for the cell shown. As for the space group: No. 14.


(2)
A plane-wave DFT calculation with PBE with a Hubbard U was carried out for an optimized crystal structure of Rb4Mo5P2O22.

a = 6.6211 Å, b = 10.6703 Å, c = 18.0972 Å
α = 90.00°, β = 90.00°, γ = 108.07°
Last column: nearest neighbours and their distance in Å.
Sites, in units of the cell vectors:
Rb (0.9664, 0.0000, 0.5000)  8 O 3.11-3.43
Rb (0.0336, 0.0000, 0.0000)  8 O 3.11-3.43
Rb (0.3022, 0.5370, 0.9025)  5 O 2.86-3.19
Rb (0.7653, 0.4630, 0.0975)  5 O 2.86-3.19
Rb (0.6978, 0.4630, 0.4025)  5 O 2.86-3.19
Rb (0.2347, 0.5370, 0.5975)  5 O 2.86-3.19
Rb (0.9196, 0.8392, 0.7500)  6 O 2.89-3.01
Rb (0.0804, 0.1608, 0.2500)  6 O 2.89-3.01
Mo (0.7108, 0.2864, 0.9044)  2 O 1.74-1.75
Mo (0.4244, 0.7136, 0.0956)  2 O 1.74-1.75
Mo (0.2892, 0.7136, 0.4044)  2 O 1.74-1.75
Mo (0.5756, 0.2864, 0.5956)  2 O 1.74-1.75
Mo (0.7398, 0.4797, 0.7500)  4 O 1.75-1.95
Mo (0.2602, 0.5203, 0.2500)  4 O 1.75-1.95
Mo (0.4851, 0.9613, 0.6457)  4 O 1.74-1.94
Mo (0.5238, 0.0387, 0.3543)  4 O 1.74-1.94
Mo (0.5149, 0.0387, 0.1457)  4 O 1.74-1.94
Mo (0.4762, 0.9613, 0.8543)  4 O 1.74-1.94
P (0.3154, 0.1902, 0.7649)  4 O 1.51-1.61
P (0.1252, 0.8098, 0.2351)  4 O 1.51-1.61
P (0.6846, 0.8098, 0.2649)  4 O 1.51-1.61
P (0.8748, 0.1902, 0.7351)  4 O 1.51-1.61
O (0.2352, 0.0675, 0.8121)  1 P 1.51
O (0.1677, 0.9325, 0.1879)  1 P 1.51
O (0.7648, 0.9325, 0.3121)  1 P 1.51
O (0.8323, 0.0675, 0.6879)  1 P 1.51
O (0.3926, 0.1574, 0.6889)  1 P 1.54
O (0.2352, 0.8426, 0.3111)  1 P 1.54
O (0.6074, 0.8426, 0.1889)  1 P 1.54
O (0.7648, 0.1574, 0.8111)  1 P 1.54
O (0.1263, 0.2525, 0.7500)  2 P 1.61
O (0.8737, 0.7475, 0.2500)  2 P 1.61
O (0.4819, 0.3042, 0.8044)  1 P 1.54
O (0.1777, 0.6958, 0.1956)  1 P 1.54
O (0.5181, 0.6958, 0.3044)  1 P 1.54
O (0.8223, 0.3042, 0.6956)  1 P 1.54
O (0.5199, 0.1085, 0.9220)  2 Mo 1.94-1.95
O (0.4114, 0.8915, 0.0780)  2 Mo 1.94-1.95
O (0.4801, 0.8915, 0.4220)  2 Mo 1.94-1.95
O (0.5886, 0.1085, 0.5780)  2 Mo 1.94-1.95
O (0.9289, 0.2870, 0.9584)  1 Mo 1.74
O (0.6419, 0.7130, 0.0416)  1 Mo 1.74
O (0.0711, 0.7130, 0.4584)  1 Mo 1.74
O (0.3581, 0.2870, 0.5416)  1 Mo 1.74
O (0.5792, 0.3752, 0.9566)  1 Mo 1.75
O (0.2041, 0.6248, 0.0434)  1 Mo 1.75
O (0.4208, 0.6248, 0.4566)  1 Mo 1.75
O (0.7959, 0.3752, 0.5434)  1 Mo 1.75
O (0.5579, 0.4263, 0.6637)  2 Mo 1.95-1.97
O (0.1316, 0.5737, 0.3363)  2 Mo 1.95-1.97
O (0.4421, 0.5737, 0.1637)  2 Mo 1.95-1.97
O (0.8684, 0.4263, 0.8363)  2 Mo 1.95-1.97
O (0.6167, 0.5877, 0.7885)  1 Mo 1.75
O (0.0290, 0.4123, 0.2115)  1 Mo 1.75
O (0.3833, 0.4123, 0.2885)  1 Mo 1.75
O (0.9710, 0.5877, 0.7115)  1 Mo 1.75
O (0.5919, 0.8440, 0.6099)  1 Mo 1.74
O (0.7479, 0.1560, 0.3901)  1 Mo 1.74
O (0.4081, 0.1560, 0.1099)  1 Mo 1.74
O (0.2521, 0.8440, 0.8901)  1 Mo 1.74
O (0.4581, 0.9163, 0.7500)  2 Mo 1.94
O (0.5419, 0.0837, 0.2500)  2 Mo 1.94
O (0.2181, 0.9017, 0.6199)  1 Mo 1.75
O (0.3164, 0.0983, 0.3801)  1 Mo 1.75
O (0.7819, 0.0983, 0.1199)  1 Mo 1.75
O (0.6836, 0.9017, 0.8801)  1 Mo 1.75

Output
As for the density: 3.38 g/cm3. The total energy is -443.08 eV for the cell shown. As for the space group: No. 20.


(3)
A plane-wave DFT calculation with PBE with a Hubbard U was carried out for an optimized crystal structure of Rb2Mo3P3O17.

a = 9.7119 Å, b = 11.0114 Å, c = 15.9453 Å
α = 68.58°, β = 90.00°, γ = 90.00°
Last column: nearest neighbours and their distance in Å.
Sites, in units of the cell vectors:
Rb (0.3656, 0.8205, 0.5061)  8 O 3.10-3.42
Rb (0.6344, 0.1795, 0.4939)  8 O 3.10-3.42
Rb (0.8656, 0.1795, 0.9939)  8 O 3.10-3.42
Rb (0.1344, 0.8205, 0.0061)  8 O 3.10-3.42
Rb (0.8694, 0.3901, 0.2110)  5 O 2.85-3.15
Rb (0.1306, 0.6099, 0.7890)  5 O 2.85-3.15
Rb (0.3694, 0.6099, 0.2890)  5 O 2.85-3.15
Rb (0.6306, 0.3901, 0.7110)  5 O 2.85-3.15
Mo (0.1160, 0.9551, 0.2419)  1 O 1.72
Mo (0.8840, 0.0449, 0.7581)  1 O 1.72
Mo (0.6160, 0.0449, 0.2581)  1 O 1.72
Mo (0.3840, 0.9551, 0.7419)  1 O 1.72
Mo (0.6204, 0.7516, 0.0623)  2 O 1.73-1.77
Mo (0.3796, 0.2484, 0.9377)  2 O 1.73-1.77
Mo (0.1204, 0.2484, 0.4377)  2 O 1.73-1.77
Mo (0.8796, 0.7516, 0.5623)  2 O 1.73-1.77
Mo (0.7568, 0.5743, 0.4029)  2 O 1.74
Mo (0.2432, 0.4257, 0.5971)  2 O 1.74
Mo (0.2568, 0.4257, 0.0971)  2 O 1.74
Mo (0.7432, 0.5743, 0.9029)  2 O 1.74
P (0.8220, 0.8365, 0.2025)  4 O 1.54-1.56
P (0.1780, 0.1635, 0.7975)  4 O 1.54-1.56
P (0.3220, 0.1635, 0.2975)  4 O 1.54-1.56
P (0.6780, 0.8365, 0.7025)  4 O 1.54-1.56
P (0.5952, 0.3307, 0.0704)  4 O 1.53-1.57
P (0.4048, 0.6693, 0.9296)  4 O 1.53-1.57
P (0.0952, 0.6693, 0.4296)  4 O 1.53-1.57
P (0.9048, 0.3307, 0.5704)  4 O 1.53-1.57
P (0.3997, 0.9562, 0.1218)  4 O 1.53-1.57
P (0.6003, 0.0438, 0.8782)  4 O 1.53-1.57
P (0.8997, 0.0438, 0.3782)  4 O 1.53-1.57
P (0.1003, 0.9562, 0.6218)  4 O 1.53-1.57
O (0.9710, 0.9598, 0.3318)  1 P 1.54
O (0.0290, 0.0402, 0.6682)  1 P 1.54
O (0.4710, 0.0402, 0.1682)  1 P 1.54
O (0.5290, 0.9598, 0.8318)  1 P 1.54
O (0.4429, 0.7331, 0.9997)  1 P 1.57
O (0.5571, 0.2669, 0.0003)  1 P 1.57
O (0.9429, 0.2669, 0.5003)  1 P 1.57
O (0.0571, 0.7331, 0.4997)  1 P 1.57
O (0.7622, 0.7292, 0.2867)  1 P 1.54
O (0.2378, 0.2708, 0.7133)  1 P 1.54
O (0.2622, 0.2708, 0.2133)  1 P 1.54
O (0.7378, 0.7292, 0.7867)  1 P 1.54
O (0.5833, 0.5920, 0.4219)  1 Mo 1.74
O (0.4168, 0.4080, 0.5781)  1 Mo 1.74
O (0.0832, 0.4080, 0.0781)  1 Mo 1.74
O (0.9168, 0.5920, 0.9219)  1 Mo 1.74
O (0.7558, 0.4574, 0.3532)  1 Mo 1.74
O (0.2442, 0.5426, 0.6468)  1 Mo 1.74
O (0.2558, 0.5426, 0.1468)  1 Mo 1.74
O (0.7442, 0.4574, 0.8532)  1 Mo 1.74
O (0.7866, 0.8075, 0.1165)  1 P 1.56
O (0.2134, 0.1925, 0.8835)  1 P 1.56
O (0.2866, 0.1925, 0.3835)  1 P 1.56
O (0.7134, 0.8075, 0.6165)  1 P 1.56
O (0.6685, 0.2296, 0.1511)  1 P 1.54
O (0.3315, 0.7704, 0.8489)  1 P 1.54
O (0.1685, 0.7704, 0.3489)  1 P 1.54
O (0.8315, 0.2296, 0.6511)  1 P 1.54
O (0.9811, 0.8396, 0.2024)  1 P 1.55
O (0.0189, 0.1604, 0.7976)  1 P 1.55
O (0.4811, 0.1604, 0.2976)  1 P 1.55
O (0.5189, 0.8396, 0.7024)  1 P 1.55
O (0.6095, 0.6045, 0.1521)  1 Mo 1.73
O (0.3905, 0.3955, 0.8479)  1 Mo 1.73
O (0.1095, 0.3955, 0.3479)  1 Mo 1.73
O (0.8905, 0.6045, 0.6521)  1 Mo 1.73
O (0.7088, 0.4365, 0.0269)  1 P 1.57
O (0.2912, 0.5635, 0.9731)  1 P 1.57
O (0.2088, 0.5635, 0.4731)  1 P 1.57
O (0.7912, 0.4365, 0.5269)  1 P 1.57
O (0.8621, 0.9597, 0.4750)  1 P 1.53
O (0.1379, 0.0403, 0.5250)  1 P 1.53
O (0.3621, 0.0403, 0.0250)  1 P 1.53
O (0.6379, 0.9597, 0.9750)  1 P 1.53
O (0.4903, 0.8366, 0.1294)  1 P 1.55
O (0.5097, 0.1634, 0.8706)  1 P 1.55
O (0.9903, 0.1634, 0.3706)  1 P 1.55
O (0.0097, 0.8366, 0.6294)  1 P 1.55
O (0.7853, 0.7075, 0.4825)  1 Mo 1.77
O (0.2147, 0.2925, 0.5175)  1 Mo 1.77
O (0.2853, 0.2925, 0.0175)  1 Mo 1.77
O (0.7147, 0.7075, 0.9825)  1 Mo 1.77
O (0.7602, 0.9695, 0.1943)  1 P 1.54
O (0.2398, 0.0305, 0.8057)  1 P 1.54
O (0.2602, 0.0305, 0.3057)  1 P 1.54
O (0.7398, 0.9695, 0.6943)  1 P 1.54
O (0.2656, 0.8937, 0.1748)  1 P 1.57
O (0.7344, 0.1063, 0.8252)  1 P 1.57
O (0.7656, 0.1063, 0.3252)  1 P 1.57
O (0.2344, 0.8937, 0.6748)  1 P 1.57
O (0.5697, 0.9054, 0.3458)  1 Mo 1.72
O (0.4303, 0.0946, 0.6542)  1 Mo 1.72
O (0.0697, 0.0946, 0.1542)  1 Mo 1.72
O (0.9303, 0.9054, 0.8458)  1 Mo 1.72
O (0.9709, 0.6065, 0.4026)  1 P 1.53
O (0.0291, 0.3935, 0.5974)  1 P 1.53
O (0.4709, 0.3935, 0.0974)  1 P 1.53
O (0.5291, 0.6065, 0.9026)  1 P 1.53

Output
As for the density: 3.45 g/cm3. The total energy is -692.72 eV for the cell shown. As for the space group: No. 14.


(4)
A plane-wave DFT calculation with PBE with a Hubbard U was carried out for an optimized crystal structure of RbMo3P2O14.

a = 6.5075 Å, b = 9.3651 Å, c = 10.8342 Å
α = 69.50°, β = 90.00°, γ = 90.00°
Last column: nearest neighbours and their distance in Å.
Sites, in units of the cell vectors:
Rb (0.2500, 0.0130, 0.7502)  8 O 2.91-3.18
Rb (0.7500, 0.9870, 0.2498)  8 O 2.91-3.18
Mo (0.2500, 0.7284, 0.1767)  3 O 1.71-1.89
Mo (0.7500, 0.2716, 0.8233)  3 O 1.71-1.89
Mo (0.2500, 0.3483, 0.1202)  2 O 1.73
Mo (0.7500, 0.6517, 0.8798)  2 O 1.73
Mo (0.2500, 0.7154, 0.4973)  1 O 1.71
Mo (0.7500, 0.2846, 0.5027)  1 O 1.71
P (0.2500, 0.3937, 0.8003)  4 O 1.53-1.55
P (0.7500, 0.6063, 0.1997)  4 O 1.53-1.55
P (0.2500, 0.3628, 0.4330)  4 O 1.54-1.55
P (0.7500, 0.6372, 0.5670)  4 O 1.54-1.55
O (0.2500, 0.5628, 0.1156)  2 Mo 1.89-1.99
O (0.7500, 0.4372, 0.8844)  2 Mo 1.89-1.99
O (0.2500, 0.8866, 0.0364)  1 Mo 1.71
O (0.7500, 0.1134, 0.9636)  1 Mo 1.71
O (0.9388, 0.7100, 0.1930)  1 P 1.55
O (0.0612, 0.2900, 0.8070)  1 P 1.55
O (0.4388, 0.2900, 0.8070)  1 P 1.55
O (0.5612, 0.7100, 0.1930)  1 P 1.55
O (0.2500, 0.8269, 0.3022)  2 Mo 1.89-2.00
O (0.7500, 0.1731, 0.6978)  2 Mo 1.89-2.00
O (0.2500, 0.8646, 0.5533)  1 Mo 1.71
O (0.7500, 0.1354, 0.4467)  1 Mo 1.71
O (0.4649, 0.2376, 0.1275)  1 Mo 1.73
O (0.5351, 0.7624, 0.8725)  1 Mo 1.73
O (0.9649, 0.7624, 0.8725)  1 Mo 1.73
O (0.0351, 0.2376, 0.1275)  1 Mo 1.73
O (0.9386, 0.7024, 0.4784)  1 P 1.55
O (0.0614, 0.2976, 0.5216)  1 P 1.55
O (0.4386, 0.2976, 0.5216)  1 P 1.55
O (0.5614, 0.7024, 0.4784)  1 P 1.55
O (0.2500, 0.5326, 0.6724)  1 P 1.53
O (0.7500, 0.4674, 0.3276)  1 P 1.53
O (0.2500, 0.4497, 0.9192)  1 P 1.55
O (0.7500, 0.5503, 0.0808)  1 P 1.55
O (0.2500, 0.3038, 0.3170)  1 P 1.54
O (0.7500, 0.6962, 0.6830)  1 P 1.54
O (0.2500, 0.5388, 0.3854)  1 P 1.55
O (0.7500, 0.4612, 0.6146)  1 P 1.55

Output
As for the density: 3.54 g/cm3. The total energy is -280.43 eV for the cell shown. As for the space group: No. 11.


(5)
A plane-wave DFT calculation with PBE with a Hubbard U was carried out for an optimized crystal structure of Rb2MoP2O9.

a = 8.4390 Å, b = 8.4390 Å, c = 15.9457 Å
α = 82.40°, β = 82.40°, γ = 60.11°
Last column: nearest neighbours and their distance in Å.
Sites, in units of the cell vectors:
Rb (0.1919, 0.5143, 0.7364)  6 O 2.88-3.10
Rb (0.8081, 0.4857, 0.2636)  6 O 2.88-3.10
Rb (0.4857, 0.8081, 0.7636)  6 O 2.88-3.10
Rb (0.5143, 0.1919, 0.2364)  6 O 2.88-3.10
Rb (0.2786, 0.4281, 0.4768)  6 O 2.92-3.22
Rb (0.7214, 0.5719, 0.5232)  6 O 2.92-3.22
Rb (0.5719, 0.7214, 0.0232)  6 O 2.92-3.22
Rb (0.4281, 0.2786, 0.9768)  6 O 2.92-3.22
Mo (0.9723, 0.2466, 0.8646)  2 O 1.74
Mo (0.0277, 0.7534, 0.1354)  2 O 1.74
Mo (0.7534, 0.0277, 0.6354)  2 O 1.74
Mo (0.2466, 0.9723, 0.3646)  2 O 1.74
P (0.1513, 0.7731, 0.9232)  4 O 1.50-1.63
P (0.8487, 0.2269, 0.0768)  4 O 1.50-1.63
P (0.2269, 0.8487, 0.5768)  4 O 1.50-1.63
P (0.7731, 0.1513, 0.4232)  4 O 1.50-1.63
P (0.0416, 0.2038, 0.6561)  4 O 1.50-1.63
P (0.9584, 0.7962, 0.3439)  4 O 1.50-1.63
P (0.7962, 0.9584, 0.8439)  4 O 1.50-1.63
P (0.2038, 0.0416, 0.1561)  4 O 1.50-1.63
O (0.3101, 0.6310, 0.8724)  1 P 1.50
O (0.6899, 0.3690, 0.1276)  1 P 1.50
O (0.3690, 0.6899, 0.6276)  1 P 1.50
O (0.6310, 0.3101, 0.3724)  1 P 1.50
O (0.9623, 0.7936, 0.8962)  2 P 1.63
O (0.0377, 0.2064, 0.1038)  2 P 1.63
O (0.2064, 0.0377, 0.6038)  2 P 1.63
O (0.7936, 0.9623, 0.3962)  2 P 1.63
O (0.0499, 0.3746, 0.6228)  1 P 1.50
O (0.9501, 0.6254, 0.3772)  1 P 1.50
O (0.6254, 0.9501, 0.8772)  1 P 1.50
O (0.3746, 0.0499, 0.1228)  1 P 1.50
O (0.8192, 0.4588, 0.8181)  1 Mo 1.74
O (0.1808, 0.5412, 0.1819)  1 Mo 1.74
O (0.5412, 0.1808, 0.6819)  1 Mo 1.74
O (0.4588, 0.8192, 0.3181)  1 Mo 1.74
O (0.1514, 0.2808, 0.8839)  1 Mo 1.74
O (0.8486, 0.7192, 0.1161)  1 Mo 1.74
O (0.7192, 0.8486, 0.6161)  1 Mo 1.74
O (0.2808, 0.1514, 0.3839)  1 Mo 1.74
O (0.8415, 0.3015, 0.9815)  1 P 1.56
O (0.1585, 0.6985, 0.0185)  1 P 1.56
O (0.6985, 0.1585, 0.5185)  1 P 1.56
O (0.3015, 0.8415, 0.4815)  1 P 1.56
O (0.8611, 0.2103, 0.6444)  1 P 1.53
O (0.1389, 0.7897, 0.3556)  1 P 1.53
O (0.7897, 0.1389, 0.8556)  1 P 1.53
O (0.2103, 0.8611, 0.1444)  1 P 1.53
O (0.9625, 0.1372, 0.4141)  1 P 1.53
O (0.0375, 0.8628, 0.5859)  1 P 1.53
O (0.8628, 0.0375, 0.0859)  1 P 1.53
O (0.1372, 0.9625, 0.9141)  1 P 1.53
O (0.0940, 0.1389, 0.7503)  1 P 1.57
O (0.9060, 0.8611, 0.2497)  1 P 1.57
O (0.8611, 0.9060, 0.7497)  1 P 1.57
O (0.1389, 0.0940, 0.2503)  1 P 1.57

Output
As for the density: 3.23 g/cm3. The total energy is -375.24 eV for the cell shown. As for the space group: No. 15.


(6)
A plane-wave DFT calculation with PBE with a Hubbard U was carried out for an optimized crystal structure of RbMoP2O6.

a = 5.3957 Å, b = 5.3957 Å, c = 7.4655 Å
α = 68.82°, β = 68.82°, γ = 60.00°
Last column: nearest neighbours and their distance in Å.
Sites, in units of the cell vectors:
Rb (0.0000, 0.0000, 0.0000)  6 O 3.07
Mo (0.5000, 0.5000, 0.5000)  6 O 2.17
P (0.7538, 0.7538, 0.7388)  3 O 1.54
P (0.2462, 0.2462, 0.2612)  3 O 1.54
O (0.0750, 0.5287, 0.6861)  1 P 1.54
O (0.7102, 0.0750, 0.6861)  1 P 1.54
O (0.4713, 0.2898, 0.3139)  1 P 1.54
O (0.9250, 0.4713, 0.3139)  1 P 1.54
O (0.2898, 0.9250, 0.3139)  1 P 1.54
O (0.5287, 0.7102, 0.6861)  1 P 1.54

Output
As for the density: 3.29 g/cm3. The total energy is -66.41 eV for the cell shown. As for the space group: No. 148.